A plane-wave DFT calculation with PBE was carried out for a relaxed CsLaW2 crystal.

extended XYZ file:
```
16
Lattice="4.7097 0.0000 0.0000 0.0000 4.7097 0.0000 0.0000 0.0000 21.9876" Properties=species:S:1:pos:R:3 pbc="T T T"
Cs 0.0000 0.0000 0.0000
Cs 0.0000 2.3549 5.4969
Cs 2.3549 0.0000 16.4907
Cs 2.3549 2.3549 10.9938
La 0.0000 0.0000 10.9938
La 0.0000 2.3549 16.4907
La 2.3549 0.0000 5.4969
La 2.3549 2.3549 0.0000
W 0.4377 3.5323 13.7422
W 1.1774 0.4377 8.2453
W 1.1774 1.9172 19.2391
W 1.9172 3.5323 2.7484
W 2.7925 1.1774 2.7484
W 3.5323 2.7925 19.2391
W 3.5323 4.2720 8.2453
W 4.2720 1.1774 13.7422
```

Values from the calculation:
ρ (Mg/m³): 8.71
Electronic total energy (eV per atom): -6.05
Energy above the lowest structure with this stoichiometry (meV per atom): 115
Formation enthalpy at 0 K (meV/atom): 1876

=====

A plane-wave DFT calculation with PBE was carried out for a relaxed Zr5Sb crystal.

extended XYZ file:
```
6
Lattice="3.2497 0.0000 0.0000 0.0000 3.2497 0.0000 0.0000 0.0000 13.2736" Properties=species:S:1:pos:R:3 pbc="T T T"
Zr 0.0000 0.0000 0.0000
Zr 0.0000 0.0000 4.4584
Zr 0.0000 0.0000 8.8152
Zr 1.6249 1.6249 2.2110
Zr 1.6249 1.6249 11.0626
Sb 1.6249 1.6249 6.6368
```

Values from the calculation:
ρ (Mg/m³): 6.85
Electronic total energy (eV per atom): -7.90
Energy above the lowest structure with this stoichiometry (meV per atom): 176